[1]
DyHoBeCu, relaxed, DFT PBE-GGA; formation energy = -0.070 eV per atom; volume = 20.268 A^3/atom; calculated density = 8.19 g cm⁻³
1.0
-4.581 1.544 -0.478
-3.516 -1.943 2.732
-2.061 2.622 3.532
Cu Be Dy Ho
1 1 1 1
Cartesian
-2.540 0.556 1.446
-7.619 1.667 4.339
-5.079 1.112 2.893
0.000 0.000 0.000

---

[2]
LiDy2Be3Cu12, relaxed, DFT PBE-GGA; formation energy = 0.282 eV per atom; volume = 15.342 A^3/atom; calculated density = 6.74 g cm⁻³
1.0
-1.311 0.540 6.658
2.385 -5.568 3.106
5.785 1.645 3.190
Be Cu Dy Li
3 12 2 1
Cartesian
2.892 0.823 1.595
1.193 -2.784 1.553
-0.655 0.270 3.329
4.733 -0.087 9.653
3.342 -4.084 5.536
2.127 -3.296 3.301
3.517 0.701 7.418
1.292 -0.696 7.506
0.236 -0.171 5.118
1.632 -3.299 7.372
5.227 -0.084 5.582
5.567 -2.687 5.449
6.624 -3.212 7.836
2.993 -3.778 9.611
3.866 0.395 3.344
2.671 -1.317 5.043
4.189 -2.066 7.911
0.000 0.000 0.000

---

[3]
DyLuBeCu, relaxed, DFT PBE-GGA; formation energy = -0.089 eV per atom; volume = 19.699 A^3/atom; calculated density = 8.64 g cm⁻³
1.0
4.812 0.000 0.000
2.406 4.167 0.000
2.406 1.389 3.929
Lu Cu Be Dy
1 1 1 1
Cartesian
4.812 2.778 1.965
2.406 1.389 0.982
7.218 4.167 2.947
0.000 0.000 0.000

---

[4]
DyMgBeCu, relaxed, DFT PBE-GGA; formation energy = -0.049 eV per atom; volume = 17.689 A^3/atom; calculated density = 6.09 g cm⁻³
1.0
4.643 0.000 0.000
2.321 4.021 0.000
2.321 1.340 3.791
Cu Dy Mg Be
1 1 1 1
Cartesian
2.321 1.340 0.948
4.643 2.680 1.895
0.000 0.000 0.000
6.964 4.021 2.843